# LiCaFeIr2

LiCaFeIr2 after structural relaxation (PBE-GGA, Alexandria via LeMat-Bulk).

abc: 4.8137 3.9586 4.8137
angles: 90.00 90.00 90.00
Closest atoms and distances in Å follow each position.
Fractional positions:
Li: 0.0000 0.5000 0.0000  2 Ca 1.98
Ir: 0.0000 0.0000 0.5000  2 Ca 2.41
Ca: 0.0000 0.0000 0.0000  2 Li 1.98
Ir: 0.5000 0.0000 0.0000  2 Ca 2.41
Fe: 0.5000 0.5000 0.5000  8 Ir 3.12, 4 Li 3.40

Properties
N(E_F) = 1.560 states/eV per atom
energy of formation = 1973 meV per atom

=====

# CaMnFeIr2

CaMnFeIr2 after structural relaxation (PBE-GGA, Alexandria via LeMat-Bulk).

abc: 4.5599 4.5105 4.5599
angles: 90.00 90.00 90.00
Closest atoms and distances in Å follow each position.
Fractional positions:
Ca: 0.5000 0.5000 0.5000  8 Ir 3.21, 4 Mn 3.22
Ir: 0.5000 0.0000 0.0000  2 Fe 2.28
Ir: 0.0000 0.0000 0.5000  2 Fe 2.28
Fe: 0.0000 0.0000 0.0000  2 Mn 2.26, 4 Ir 2.28
Mn: 0.0000 0.5000 0.0000  2 Fe 2.26

Properties
N(E_F) = 0.940 states/eV per atom
energy of formation = 519 meV per atom